Entry from Alexandria: an optimized crystal structure of Rb2AlAu2 (PBE).

abc: 4.5540 4.5540 32.3685
angles: 90.00 90.00 120.00
Fractional positions:
Rb (0.0000, 0.0000, 0.0736)
Rb (0.0000, 0.0000, 0.9264)
Rb (0.3333, 0.6667, 0.5931)
Rb (0.3333, 0.6667, 0.7403)
Rb (0.6667, 0.3333, 0.2597)
Rb (0.6667, 0.3333, 0.4069)
Al (0.0000, 0.0000, 0.5000)
Al (0.3333, 0.6667, 0.1667)
Al (0.6667, 0.3333, 0.8333)
Au (0.0000, 0.0000, 0.1844)
Au (0.0000, 0.0000, 0.8156)
Au (0.3333, 0.6667, 0.4822)
Au (0.3333, 0.6667, 0.8511)
Au (0.6667, 0.3333, 0.1489)
Au (0.6667, 0.3333, 0.5178)

The total magnetic moment comes out at 0.00 μB/atom. The excess energy over the best structure of this formula in the dataset is 0 meV per atom. Its formation energy is -271.0 meV/atom. For the uncorrected energy, the calculation gives -2.72 eV per atom. As for the symmetry: R-3m (166).


Entry from Alexandria: an optimized crystal structure of AcPb3Au3 (PBE).

abc: 9.4260 9.4260 4.9828
angles: 90.00 90.00 120.00
Fractional positions:
Ac (0.3333, 0.6667, 0.2500)
Ac (0.6667, 0.3333, 0.7500)
Pb (0.0422, 0.7766, 0.7500)
Pb (0.2234, 0.2656, 0.7500)
Pb (0.2656, 0.0422, 0.2500)
Pb (0.7344, 0.9578, 0.7500)
Pb (0.7766, 0.7344, 0.2500)
Pb (0.9578, 0.2234, 0.2500)
Au (0.0730, 0.4765, 0.7500)
Au (0.4035, 0.9270, 0.7500)
Au (0.4765, 0.4035, 0.2500)
Au (0.5235, 0.5965, 0.7500)
Au (0.5965, 0.0730, 0.2500)
Au (0.9270, 0.5235, 0.2500)

The total magnetic moment comes out at 0.00 μB/atom. The excess energy over the best structure of this formula in the dataset is 0 meV per atom. Its formation energy is -393.1 meV/atom. For the uncorrected energy, the calculation gives -3.97 eV per atom. As for the symmetry: P6_3/m (176).


Entry from Alexandria: an optimized crystal structure of Li2PCl (PBE).

abc: 3.1080 3.1080 7.3692
angles: 90.00 90.00 90.00
Fractional positions:
Li (0.0000, 0.0000, 0.0000)
Li (0.5000, 0.5000, 0.4417)
P (0.0000, 0.0000, 0.6485)
Cl (0.5000, 0.5000, 0.1258)

The total magnetic moment comes out at 0.00 μB/atom. The excess energy over the best structure of this formula in the dataset is 28 meV per atom. For the uncorrected formation energy, the calculation gives -815 meV/atom. For the uncorrected energy, the calculation gives -3.59 eV per atom. As for the symmetry: P4mm (99).


Entry from Alexandria: an optimized crystal structure of PmNdSiPd (PBE).

abc: 7.2631 7.2631 7.2631
angles: 90.00 90.00 90.00
Fractional positions:
Pm (0.0000, 0.0000, 0.0000)
Pm (0.0000, 0.5000, 0.5000)
Pm (0.5000, 0.0000, 0.5000)
Pm (0.5000, 0.5000, 0.0000)
Nd (0.0000, 0.0000, 0.5000)
Nd (0.0000, 0.5000, 0.0000)
Nd (0.5000, 0.0000, 0.0000)
Nd (0.5000, 0.5000, 0.5000)
Si (0.2500, 0.2500, 0.2500)
Si (0.2500, 0.7500, 0.7500)
Si (0.7500, 0.2500, 0.7500)
Si (0.7500, 0.7500, 0.2500)
Pd (0.2500, 0.2500, 0.7500)
Pd (0.2500, 0.7500, 0.2500)
Pd (0.7500, 0.2500, 0.2500)
Pd (0.7500, 0.7500, 0.7500)

The total magnetic moment comes out at 0.00 μB/atom. The excess energy over the best structure of this formula in the dataset is 130 meV per atom. For the uncorrected formation energy, the calculation gives -629 meV/atom. For the uncorrected energy, the calculation gives -5.66 eV per atom. As for the symmetry: F-43m (216).


Entry from Alexandria: an optimized crystal structure of K2ZrCr (PBE).

abc: 3.2803 6.5528 5.5477
angles: 90.00 92.39 90.00
Fractional positions:
K (0.2413, 0.0000, 0.2576)
K (0.7587, 0.0000, 0.7424)
Zr (0.5000, 0.5000, 0.0000)
Cr (0.0000, 0.5000, 0.5000)

The total magnetic moment comes out at 0.76 μB/atom. The excess energy over the best structure of this formula in the dataset is 433 meV per atom. Its formation energy is 1110.6 meV/atom. For the uncorrected energy, the calculation gives -3.98 eV per atom. As for the symmetry: P2/m (10).


Entry from Alexandria: an optimized crystal structure of Rb2AlI6Br (PBE).

abc: 8.6742 8.6742 8.6742
angles: 122.52 122.52 85.68
Fractional positions:
Rb (0.2500, 0.7500, 0.5000)
Rb (0.7500, 0.2500, 0.5000)
Al (0.0000, 0.0000, 0.0000)
I (0.2162, 0.2162, 0.0000)
I (0.2381, 0.2381, 0.4761)
I (0.2381, 0.7619, 0.0000)
I (0.7619, 0.2381, 0.0000)
I (0.7619, 0.7619, 0.5239)
I (0.7838, 0.7838, 0.0000)
Br (0.5000, 0.5000, 0.0000)

The total magnetic moment comes out at 0.00 μB/atom. For the uncorrected formation energy, the calculation gives -703 meV/atom. For the uncorrected energy, the calculation gives -2.37 eV per atom. As for the symmetry: I4/mmm (139).


Entry from Alexandria: an optimized crystal structure of GaSnAu (PBE).

abc: 3.5951 5.9411 6.1668
angles: 89.67 90.00 89.93
Fractional positions:
Ga (0.0000, 0.0000, 0.0000)
Ga (0.4988, 0.9223, 0.5549)
Sn (0.0019, 0.3811, 0.6970)
Sn (0.5013, 0.3155, 0.2394)
Au (0.9998, 0.6951, 0.3270)
Au (0.5008, 0.6785, 0.9187)

The total magnetic moment comes out at 0.00 μB/atom. Its formation energy is -105.1 meV/atom. For the uncorrected energy, the calculation gives -3.54 eV per atom. As for the symmetry: P1 (1).


Entry from Alexandria: an optimized crystal structure of InGa2I3 (PBE).

abc: 9.1335 4.3637 13.6920
angles: 90.00 102.40 90.00
Fractional positions:
In (0.0498, 0.2500, 0.3191)
In (0.9502, 0.7500, 0.6809)
Ga (0.0948, 0.7500, 0.0507)
Ga (0.1180, 0.2500, 0.5523)
Ga (0.8820, 0.7500, 0.4477)
Ga (0.9052, 0.2500, 0.9493)
I (0.1467, 0.2500, 0.8215)
I (0.2761, 0.2500, 0.1743)
I (0.3309, 0.7500, 0.5578)
I (0.6691, 0.2500, 0.4422)
I (0.7239, 0.7500, 0.8257)
I (0.8533, 0.7500, 0.1785)

The total magnetic moment comes out at 0.00 μB/atom. The excess energy over the best structure of this formula in the dataset is 45 meV per atom. For the uncorrected formation energy, the calculation gives -327 meV/atom. For the uncorrected energy, the calculation gives -2.57 eV per atom. As for the symmetry: P2_1/m (11).


Entry from Alexandria: an optimized crystal structure of NaZrAsF2 (PBE).

abc: 4.4729 4.4729 5.4113
angles: 90.00 90.00 90.00
Fractional positions:
Na (0.0000, 0.0000, 0.0000)
Zr (0.5000, 0.5000, 0.0000)
As (0.5000, 0.5000, 0.5000)
F (0.0000, 0.5000, 0.5000)
F (0.5000, 0.0000, 0.5000)

The total magnetic moment comes out at 0.13 μB/atom. For the uncorrected formation energy, the calculation gives -498 meV/atom. For the uncorrected energy, the calculation gives -4.15 eV per atom. As for the symmetry: P4/mmm (123).


Entry from Alexandria: an optimized crystal structure of LiLu2Sn (PBE).

abc: 3.7326 3.7326 7.0235
angles: 90.00 90.00 90.00
Fractional positions:
Li (0.0000, 0.0000, 0.0000)
Lu (0.5000, 0.5000, 0.2440)
Lu (0.5000, 0.5000, 0.7560)
Sn (0.0000, 0.0000, 0.5000)

The total magnetic moment comes out at 0.00 μB/atom. The excess energy over the best structure of this formula in the dataset is 114 meV per atom. Its formation energy is -259.7 meV/atom. For the uncorrected energy, the calculation gives -4.00 eV per atom. As for the symmetry: P4/mmm (123).


Entry from Alexandria: an optimized crystal structure of Ho6ErIn (PBE).

abc: 4.8791 4.8791 9.9270
angles: 90.00 90.00 90.00
Fractional positions:
Ho (0.0000, 0.0000, 0.0000)
Ho (0.0000, 0.0000, 0.5000)
Ho (0.0000, 0.5000, 0.2452)
Ho (0.0000, 0.5000, 0.7548)
Ho (0.5000, 0.0000, 0.2452)
Ho (0.5000, 0.0000, 0.7548)
Er (0.5000, 0.5000, 0.5000)
In (0.5000, 0.5000, 0.0000)

The total magnetic moment comes out at 0.00 μB/atom. The excess energy over the best structure of this formula in the dataset is 0 meV per atom. Its formation energy is -116.2 meV/atom. For the uncorrected energy, the calculation gives -4.46 eV per atom. As for the symmetry: P4/mmm (123).


Entry from Alexandria: an optimized crystal structure of Hf2GaMoAs (PBE).

abc: 4.9823 4.9823 4.5091
angles: 90.00 90.00 90.00
Fractional positions:
Hf (0.0000, 0.5000, 0.0000)
Hf (0.5000, 0.0000, 0.0000)
Ga (0.0000, 0.0000, 0.0000)
Mo (0.5000, 0.5000, 0.5000)
As (0.0000, 0.0000, 0.5000)

The total magnetic moment comes out at 0.15 μB/atom. Its formation energy is 1107.4 meV/atom. For the uncorrected energy, the calculation gives -6.58 eV per atom. As for the symmetry: P4/mmm (123).


Entry from Alexandria: an optimized crystal structure of MoPt3 (PBE).

abc: 3.9767 3.9767 3.9767
angles: 90.00 90.00 90.00
Fractional positions:
Mo (0.0000, 0.0000, 0.0000)
Pt (0.0000, 0.5000, 0.5000)
Pt (0.5000, 0.0000, 0.5000)
Pt (0.5000, 0.5000, 0.0000)

The total magnetic moment comes out at 0.52 μB/atom. Its formation energy is -148.6 meV/atom. For the uncorrected energy, the calculation gives -7.39 eV per atom. As for the symmetry: Pm-3m (221).


Entry from Alexandria: an optimized crystal structure of BeZnSn2Se (PBE).

abc: 5.1141 5.1141 4.4557
angles: 90.00 90.00 90.00
Fractional positions:
Be (0.0000, 0.0000, 0.0000)
Zn (0.5000, 0.5000, 0.5000)
Sn (0.0000, 0.5000, 0.0000)
Sn (0.5000, 0.0000, 0.0000)
Se (0.0000, 0.0000, 0.5000)

The total magnetic moment comes out at 0.00 μB/atom. For the uncorrected formation energy, the calculation gives 333 meV/atom. For the uncorrected energy, the calculation gives -2.96 eV per atom. As for the symmetry: P4/mmm (123).


Entry from Alexandria: an optimized crystal structure of NaScGa2Os (PBE).

abc: 4.5797 4.5797 4.8401
angles: 90.00 90.00 90.00
Fractional positions:
Na (0.0000, 0.0000, 0.0000)
Sc (0.0000, 0.0000, 0.5000)
Ga (0.0000, 0.5000, 0.0000)
Ga (0.5000, 0.0000, 0.0000)
Os (0.5000, 0.5000, 0.5000)

The total magnetic moment comes out at 0.07 μB/atom. Its formation energy is 1479.4 meV/atom. For the uncorrected energy, the calculation gives -3.51 eV per atom. As for the symmetry: P4/mmm (123).


Entry from Alexandria: an optimized crystal structure of Ti3Ga3ReRh2 (PBE).

abc: 7.2828 7.2828 3.0365
angles: 90.00 90.00 120.00
Fractional positions:
Ti (0.0000, 0.7125, 0.0000)
Ti (0.2875, 0.2875, 0.0000)
Ti (0.7125, 0.0000, 0.0000)
Ga (0.0000, 0.3719, 0.5000)
Ga (0.3719, 0.0000, 0.5000)
Ga (0.6281, 0.6281, 0.5000)
Re (0.0000, 0.0000, 0.5000)
Rh (0.3333, 0.6667, 0.0000)
Rh (0.6667, 0.3333, 0.0000)

The total magnetic moment comes out at 0.00 μB/atom. Its formation energy is -549.7 meV/atom. For the uncorrected energy, the calculation gives -7.21 eV per atom. As for the symmetry: P-62m (189).


Entry from Alexandria: an optimized crystal structure of CsHg3H (PBE).

abc: 7.2166 7.2166 7.2166
angles: 90.00 90.00 90.00
Fractional positions:
Cs (0.0000, 0.0000, 0.0000)
Hg (0.0000, 0.0000, 0.5000)
Hg (0.0000, 0.5000, 0.0000)
Hg (0.5000, 0.0000, 0.0000)
H (0.5000, 0.5000, 0.5000)

The total magnetic moment comes out at 0.03 μB/atom. The excess energy over the best structure of this formula in the dataset is 558 meV per atom. For the uncorrected energy, the calculation gives -0.55 eV per atom. As for the symmetry: Pm-3m (221).


Entry from Alexandria: an optimized crystal structure of Sm3Y2Tm4 (PBE).

abc: 5.9909 5.9909 11.1312
angles: 99.53 99.53 49.64
Fractional positions:
Sm (0.0000, 0.0000, 0.0000)
Sm (0.4407, 0.4407, 0.2356)
Sm (0.5593, 0.5593, 0.7644)
Y (0.1621, 0.1621, 0.5798)
Y (0.8379, 0.8379, 0.4202)
Tm (0.1451, 0.1451, 0.2795)
Tm (0.2812, 0.2812, 0.8993)
Tm (0.7188, 0.7188, 0.1007)
Tm (0.8549, 0.8549, 0.7205)

The total magnetic moment comes out at 0.00 μB/atom. Its formation energy is 209.9 meV/atom. For the uncorrected energy, the calculation gives -4.79 eV per atom. As for the symmetry: C2/m (12).


Entry from Alexandria: an optimized crystal structure of Mg2Sc2P (PBE).

abc: 6.8150 6.8150 5.0599
angles: 90.00 90.00 90.00
Fractional positions:
Mg (0.1491, 0.3509, 0.0000)
Mg (0.3509, 0.8509, 0.0000)
Mg (0.6491, 0.1491, 0.0000)
Mg (0.8509, 0.6491, 0.0000)
Sc (0.1637, 0.6637, 0.5000)
Sc (0.3363, 0.1637, 0.5000)
Sc (0.6637, 0.8363, 0.5000)
Sc (0.8363, 0.3363, 0.5000)
P (0.0000, 0.0000, 0.5000)
P (0.5000, 0.5000, 0.5000)

The total magnetic moment comes out at 0.00 μB/atom. The excess energy over the best structure of this formula in the dataset is 0 meV per atom. Its formation energy is -320.7 meV/atom. For the uncorrected energy, the calculation gives -4.57 eV per atom. As for the symmetry: P4/mbm (127).


Entry from Alexandria: an optimized crystal structure of AcLa2Tl3Te6 (PBE).

abc: 8.1719 8.1719 8.5834
angles: 99.13 99.13 119.99
Fractional positions:
Ac (0.0000, 0.0000, 0.0000)
La (0.3331, 0.6669, 0.0000)
La (0.6669, 0.3331, 0.0000)
Tl (0.1652, 0.8348, 0.5000)
Tl (0.5000, 0.5000, 0.5000)
Tl (0.8348, 0.1652, 0.5000)
Te (0.0749, 0.4157, 0.2244)
Te (0.2667, 0.2667, 0.7772)
Te (0.4157, 0.0749, 0.2244)
Te (0.5843, 0.9251, 0.7756)
Te (0.7333, 0.7333, 0.2228)
Te (0.9251, 0.5843, 0.7756)

The total magnetic moment comes out at 0.00 μB/atom. For the uncorrected formation energy, the calculation gives -1151 meV/atom. For the uncorrected energy, the calculation gives -4.48 eV per atom. As for the symmetry: C2/m (12).